No. 1
This record from OQMD describes a geometry-optimized DyB4Os structure. The functional is PBE.

The crystal system is orthorhombic. Its volume is 120.62 Å³ per cell. The energy relative to the lowest polymorph listed for this composition is 456.9 meV per atom.

It has space group Immm (No. 71), with a = 3.1729 Å, b = 5.3301 Å, c = 7.1320 Å, α = 90.00°, β = 90.00° and γ = 90.00°. The distinct sites, in fractional coordinates, are Dy at (0.0000, 0.0000, 0.0000), B at (0.0000, 0.3339, 0.2517) and Os at (0.0000, 0.0000, 0.5000).

***

No. 2
This record from OQMD describes a geometry-optimized DyPaB structure. The functional is PBE.

The crystal system is cubic. Its volume is 246.17 Å³ per cell. The energy relative to the lowest polymorph listed for this composition is 0.0 meV per atom.

It has space group F-43m (No. 216), with a = 6.2672 Å, b = 6.2672 Å, c = 6.2672 Å, α = 90.00°, β = 90.00° and γ = 90.00°. The distinct sites, in fractional coordinates, are Dy at (0.0000, 0.0000, 0.0000), Pa at (0.0000, 0.0000, 0.5000) and B at (0.2500, 0.2500, 0.2500).

***

No. 3
This record from OQMD describes a geometry-optimized DyB4Pb structure. The functional is PBE.

The crystal system is orthorhombic. Its volume is 149.06 Å³ per cell. The energy relative to the lowest polymorph listed for this composition is 0.0 meV per atom.

It has space group Immm (No. 71), with a = 3.2303 Å, b = 5.3954 Å, c = 8.5524 Å, α = 90.00°, β = 90.00° and γ = 90.00°. The distinct sites, in fractional coordinates, are Dy at (0.0000, 0.0000, 0.0000), B at (0.0000, 0.3284, 0.2584) and Pb at (0.0000, 0.0000, 0.5000).

***

No. 4
This record from OQMD describes a geometry-optimized DyB4Pb structure. The functional is PBE.

The crystal system is hexagonal. Its volume is 77.55 Å³ per cell. The energy relative to the lowest polymorph listed for this composition is 5.4 meV per atom.

It has space group P6/mmm (No. 191), with a = 3.2493 Å, b = 3.2493 Å, c = 8.4814 Å, α = 90.00°, β = 90.00° and γ = 120.00°. The distinct sites, in fractional coordinates, are Dy at (0.0000, 0.0000, 0.0000), B at (0.3333, 0.6667, 0.2229) and Pb at (0.0000, 0.0000, 0.5000).

***

Computed E (eV per atom) in order:
-7.216; -6.690; -5.784; -5.778